A relaxed Sm6Ni2CBr3 crystal. Source: Alexandria via LeMat-Bulk, functional PBE. Values from VASP.

Calculated values
Symmetry   C2/m, No. 12
Total magnetization   0.000 μB per cell
Calculated total energy   -63.66 eV per cell

Structure (Quantum ESPRESSO input):
```
&SYSTEM
  ibrav = 0, nat = 12, ntyp = 4
/
ATOMIC_SPECIES
Sm 150.36 Sm.upf
Ni 58.69 Ni.upf
C 12.01 C.upf
Br 79.90 Br.upf
CELL_PARAMETERS angstrom
3.424 -5.927 0.000
3.424 5.927 0.000
-2.262 0.000 7.467
ATOMIC_POSITIONS crystal
Sm 0.064 0.376 0.190
Sm 0.248 0.248 0.809
Sm 0.376 0.064 0.190
Sm 0.624 0.936 0.810
Sm 0.752 0.752 0.191
Sm 0.936 0.624 0.810
Ni 0.333 0.667 0.000
Ni 0.667 0.333 0.000
C 0.000 0.000 0.000
Br 0.166 0.834 0.500
Br 0.500 0.500 0.500
Br 0.834 0.166 0.500
```